[1]
Below is a geometry-optimized Mn2CrFeH structure, with properties calculated at the GGA-PBE level.

The structure in CIF format:
```
data_Mn2CrFeH
_space_group_name_H-M_alt 'P 4/m m m'
_space_group_IT_number 123
_space_group_name_Hall '-P 4 2'
_cell_length_a 3.653
_cell_length_b 3.653
_cell_length_c 3.542
_cell_angle_alpha 90.00
_cell_angle_beta 90.00
_cell_angle_gamma 90.00
loop_
_atom_site_label
_atom_site_type_symbol
_atom_site_fract_x
_atom_site_fract_y
_atom_site_fract_z
Mn1 Mn 0.000 0.500 0.000
Cr1 Cr 0.000 0.000 0.500
Fe1 Fe 0.500 0.500 0.500
H1 H 0.500 0.500 0.000
```

Distance to the lowest polymorph of the same formula: 0.0 meV/atom
Density of states at the Fermi level: 3.9 states/eV/cell
Calculated total energy: -39.61 eV/cell

---

[2]
Below is a geometry-optimized La2IrCl structure, with properties calculated at the GGA-PBE level.

The structure in CIF format:
```
data_La2IrCl
_space_group_name_H-M_alt 'R -3 m'
_space_group_IT_number 166
_space_group_name_Hall '-R 3 2"'
_cell_length_a 4.1900
_cell_length_b 4.1900
_cell_length_c 22.9079
_cell_angle_alpha 90.00
_cell_angle_beta 90.00
_cell_angle_gamma 120.00
loop_
_atom_site_label
_atom_site_type_symbol
_atom_site_fract_x
_atom_site_fract_y
_atom_site_fract_z
La1 La 0.0000 0.0000 0.2345
Ir1 Ir 0.0000 0.0000 0.5000
Cl1 Cl 0.0000 0.0000 0.0000
```

Distance to the lowest polymorph of the same formula: 0.0 meV/atom
ΔE_f (raw): -1.337 eV per atom
Density of states at the Fermi level: 4.9 states/eV/cell
Calculated total energy: -77.73 eV/cell

---

[3]
Below is a geometry-optimized SmPuTcRh structure, with properties calculated at the GGA-PBE level.

The structure in CIF format:
```
data_SmPuTcRh
_space_group_name_H-M_alt 'F -4 3 m'
_space_group_IT_number 216
_space_group_name_Hall 'F -4 2 3'
_cell_length_a 6.878
_cell_length_b 6.878
_cell_length_c 6.878
_cell_angle_alpha 90.00
_cell_angle_beta 90.00
_cell_angle_gamma 90.00
loop_
_atom_site_label
_atom_site_type_symbol
_atom_site_fract_x
_atom_site_fract_y
_atom_site_fract_z
Sm1 Sm 0.000 0.000 0.000
Pu1 Pu 0.000 0.000 0.500
Tc1 Tc 0.250 0.250 0.250
Rh1 Rh 0.250 0.250 0.750
```

DFT formation energy: -0.172 eV per atom
Density of states at the Fermi level: 23.5 states/eV/cell
Calculated total energy: -149.83 eV/cell

---

| no. | V (Å³ per atom) | M_tot (μB/atom) |
| --- | --- | --- |
| 1 | 9.5 | 0.5081 |
| 2 | 29.0 | 0.0000 |
| 3 | 20.3 | 1.0148 |